NaAgTe2: PBEsol geometry, SCAN.

Values from the calculation:
Formation energy without anion corrections in eV per formula unit: -0.33
E above lowest polymorph in meV per atom: 306
E in eV per atom: -27.604
Mass density in g cm⁻³: 5.2

Cell and atoms, written as POSCAR:
```
NaAgTe2
1.0
3.9236 0.0000 0.0000
1.9618 3.3980 0.0000
1.9618 1.1327 9.2105
Na Te Ag
1 2 1
direct
0.0000 0.0000 0.0000 Na
0.8939 0.8939 0.3183 Te
0.1061 0.1061 0.6817 Te
0.5000 0.5000 0.5000 Ag
```

***

LiSbMo2: PBEsol geometry, SCAN.

Values from the calculation:
Formation energy without anion corrections in eV per formula unit: 1.85
E in eV per atom: -26.892
Mass density in g cm⁻³: 8.3

Cell and atoms, written as POSCAR:
```
LiSbMo2
1.0
2.9550 0.0000 0.0000
0.0000 4.9115 -0.0372
0.0000 -2.1088 4.4359
Li Mo Sb
1 2 1
direct
0.5000 0.5000 0.5000 Li
0.0000 0.5000 0.0000 Mo
0.0000 0.0000 0.5000 Mo
0.5000 0.0000 0.0000 Sb
```

***

KTl2: PBEsol geometry, SCAN.

Values from the calculation:
E above lowest polymorph in meV per atom: 64
E in eV per atom: -51.143
Mass density in g cm⁻³: 8.1
Energy of formation from the pure elements in eV per formula unit: -0.384

Cell and atoms, written as POSCAR:
```
KTl2
1.0
3.5142 0.0000 0.0000
0.0000 5.8327 0.0000
-1.7571 0.0000 8.9581
Tl K
4 2
direct
0.9441 0.7500 0.8882 Tl
0.2828 0.7500 0.5657 Tl
0.7172 0.2500 0.4343 Tl
0.0559 0.2500 0.1118 Tl
0.6127 0.7500 0.2255 K
0.3873 0.2500 0.7745 K
```